Material: Ce3Ga3Ir2
Method: DFT, PBE
State: optimized geometry

a = 5.493 Å, b = 8.048 Å, c = 15.435 Å
α = 90.00°, β = 90.00°, γ = 90.00°
Site moments in Bohr magnetons follow the coordinates.
Fractional positions:
Ce: 0.113 0.462 0.392  0.32
Ce: 0.613 0.038 0.608  0.32
Ce: 0.887 0.538 0.892  0.32
Ce: 0.387 0.962 0.108  0.32
Ce: 0.887 0.538 0.608  0.32
Ce: 0.387 0.962 0.392  0.32
Ce: 0.113 0.462 0.108  0.32
Ce: 0.613 0.038 0.892  0.32
Ce: 0.634 0.332 0.250  0.20
Ce: 0.134 0.168 0.750  0.20
Ce: 0.366 0.668 0.750  0.20
Ce: 0.866 0.832 0.250  0.20
Ga: 0.131 0.173 0.250  0.00
Ga: 0.631 0.327 0.750  0.00
Ga: 0.869 0.827 0.750  0.00
Ga: 0.369 0.673 0.250  0.00
Ga: 0.606 0.317 0.466  0.01
Ga: 0.106 0.183 0.534  0.01
Ga: 0.394 0.683 0.966  0.01
Ga: 0.894 0.817 0.034  0.01
Ga: 0.394 0.683 0.534  0.01
Ga: 0.894 0.817 0.466  0.01
Ga: 0.606 0.317 0.034  0.01
Ga: 0.106 0.183 0.966  0.01
Ir: 0.871 0.100 0.387  -0.02
Ir: 0.371 0.400 0.613  -0.02
Ir: 0.129 0.900 0.887  -0.02
Ir: 0.629 0.600 0.113  -0.02
Ir: 0.129 0.900 0.613  -0.02
Ir: 0.629 0.600 0.387  -0.02
Ir: 0.871 0.100 0.113  -0.02
Ir: 0.371 0.400 0.887  -0.02

Computed properties:
Total moment: 0.123 μB/atom
Calculated density: 9.87 g/cm³
E_form: -0.700 eV/atom